Computed, not measured: an optimized crystal structure of NbTl2B at the PBE level of DFT.

Calculated values
Polymorph energy (0 for the lowest one) = 0.0 meV/atom
Crystal system = tetragonal
DFT formation energy = 0.96 eV/atom
V = 21.9 A^3/atom
Space-group type = I-42d, No. 122

Cell: 8.7853 8.7853 6.6134 Å, 48.38 48.38 90.00°
Site moments in Bohr magnetons follow the coordinates.
Fractional coordinates of all 8 atoms:
Tl 0.4991 0.1250 0.2500  0.00
Tl 0.2509 0.6250 0.2500  0.00
Tl 0.3750 0.5009 0.7500  0.00
Tl 0.8750 0.7491 0.7500  0.00
B 0.5000 0.5000 0.0000  0.00
B 0.2500 0.7500 0.5000  -0.01
Nb 0.0000 0.0000 0.0000  0.41
Nb 0.7500 0.2500 0.5000  0.40